## PrNd2Sm2Ho (GGA-PBE)

Data for a relaxed PrNd2Sm2Ho crystal.

Lattice parameters (Å, degrees): 6.6917 18.1351 3.4538 90.00 90.00 90.00
Fractional positions:
Pr: 0.0000 0.0000 0.0000
Pr: 0.5000 0.5000 0.5000
Nd: 0.2252 0.1845 0.0000
Nd: 0.2748 0.6845 0.5000
Nd: 0.7252 0.3155 0.5000
Nd: 0.7748 0.8155 0.0000
Sm: 0.2199 0.3526 0.5000
Sm: 0.2801 0.8526 0.0000
Sm: 0.7199 0.1474 0.0000
Sm: 0.7801 0.6474 0.5000
Ho: 0.0000 0.5000 0.0000
Ho: 0.5000 0.0000 0.5000

**Total energy**: -0.1644 hartree per atom
**Space-group type**: Pnnm
**Formation energy from the elements**: 0.247 eV per atom
**D(E_F)**: 20.93 states/eV per cell

=====

## Np3Si8Rh3 (GGA-PBE)

Data for a relaxed Np3Si8Rh3 crystal.

Lattice parameters (Å, degrees): 7.7247 7.7247 8.5420 118.24 118.24 31.17
Fractional positions:
Np: 0.0000 0.0000 0.0000
Np: 0.2947 0.2947 0.3432
Np: 0.7053 0.7053 0.6568
Si: 0.1195 0.1195 0.3868
Si: 0.1347 0.1347 0.8356
Si: 0.3620 0.3620 0.7489
Si: 0.4856 0.4856 0.2965
Si: 0.5144 0.5144 0.7035
Si: 0.6380 0.6380 0.2511
Si: 0.8653 0.8653 0.1644
Si: 0.8805 0.8805 0.6132
Rh: 0.0000 0.0000 0.5000
Rh: 0.3210 0.3210 0.9940
Rh: 0.6790 0.6790 0.0060

**Total energy**: -0.2904 hartree per atom
**Formation energy (no corrections)**: -0.454 eV per atom
**Space-group type**: C2/m
**D(E_F)**: 27.04 states/eV per cell

=====

## CeCd2Pd3 (GGA-PBE)

Data for a relaxed CeCd2Pd3 crystal.

Lattice parameters (Å, degrees): 4.6395 13.9189 3.5808 90.00 90.00 90.00
Fractional positions:
Ce: 0.0000 0.0000 0.0000
Ce: 0.5000 0.5000 0.0000
Cd: 0.0000 0.3274 0.0000
Cd: 0.0000 0.6726 0.0000
Cd: 0.5000 0.1726 0.0000
Cd: 0.5000 0.8274 0.0000
Pd: 0.0000 0.1635 0.5000
Pd: 0.0000 0.5000 0.5000
Pd: 0.0000 0.8365 0.5000
Pd: 0.5000 0.0000 0.5000
Pd: 0.5000 0.3365 0.5000
Pd: 0.5000 0.6635 0.5000

**Total energy**: -0.1614 hartree per atom
**Space-group type**: Cmmm
**Formation energy from the elements**: -0.502 eV per atom
**D(E_F)**: 12.29 states/eV per cell

=====

## CuReCl (GGA-PBE)

Data for a relaxed CuReCl crystal.

Lattice parameters (Å, degrees): 5.7263 5.7263 5.7263 90.00 90.00 90.00
Fractional positions:
Cu: 0.0000 0.0000 0.0000
Cu: 0.0000 0.5000 0.5000
Cu: 0.5000 0.0000 0.5000
Cu: 0.5000 0.5000 0.0000
Re: 0.0000 0.0000 0.5000
Re: 0.0000 0.5000 0.0000
Re: 0.5000 0.0000 0.0000
Re: 0.5000 0.5000 0.5000
Cl: 0.2500 0.2500 0.7500
Cl: 0.2500 0.7500 0.2500
Cl: 0.7500 0.2500 0.2500
Cl: 0.7500 0.7500 0.7500

**Total energy**: -0.1642 hartree per atom
**Formation energy (no corrections)**: 1.662 eV per atom
**Space-group type**: F-43m
**D(E_F)**: 13.25 states/eV per cell
**Distance to the lowest polymorph of the same formula**: 1.121 eV per atom

=====

## MnBeHRu2 (GGA-PBE)

Data for a relaxed MnBeHRu2 crystal.

Lattice parameters (Å, degrees): 4.0562 4.0562 3.0980 90.00 90.00 90.00
Fractional positions:
Mn: 0.0000 0.0000 0.0000
Be: 0.5000 0.5000 0.0000
H: 0.5000 0.5000 0.5000
Ru: 0.0000 0.5000 0.5000
Ru: 0.5000 0.0000 0.5000

**Total energy**: -0.2562 hartree per atom
**Space-group type**: P4/mmm
**D(E_F)**: 2.71 states/eV per cell

=====

## CaLuZnIn (GGA-PBE)

Data for a relaxed CaLuZnIn crystal.

Lattice parameters (Å, degrees): 7.3568 7.3568 7.3568 90.00 90.00 90.00
Fractional positions:
Ca: 0.0000 0.0000 0.0000
Ca: 0.0000 0.5000 0.5000
Ca: 0.5000 0.0000 0.5000
Ca: 0.5000 0.5000 0.0000
Lu: 0.0000 0.0000 0.5000
Lu: 0.0000 0.5000 0.0000
Lu: 0.5000 0.0000 0.0000
Lu: 0.5000 0.5000 0.5000
Zn: 0.2500 0.2500 0.7500
Zn: 0.2500 0.7500 0.2500
Zn: 0.7500 0.2500 0.2500
Zn: 0.7500 0.7500 0.7500
In: 0.2500 0.2500 0.2500
In: 0.2500 0.7500 0.7500
In: 0.7500 0.2500 0.7500
In: 0.7500 0.7500 0.2500

**Total energy**: -0.1096 hartree per atom
**Space-group type**: F-43m
**Formation energy from the elements**: -0.349 eV per atom
**D(E_F)**: 8.67 states/eV per cell

=====

## Mg3TiBi (GGA-PBE)

Data for a relaxed Mg3TiBi crystal.

Lattice parameters (Å, degrees): 5.3198 5.3198 5.3198 90.00 90.00 90.00
Fractional positions:
Mg: 0.0000 0.0000 0.5000
Mg: 0.0000 0.5000 0.0000
Mg: 0.5000 0.0000 0.0000
Ti: 0.0000 0.0000 0.0000
Bi: 0.5000 0.5000 0.5000

**Total energy**: -0.0903 hartree per atom
**Space-group type**: Pm-3m
**Formation energy from the elements**: 0.854 eV per atom
**D(E_F)**: 5.27 states/eV per cell
**Distance to the lowest polymorph of the same formula**: 0.000 eV per atom

=====

## CrAgW2 (GGA-PBE)

Data for a relaxed CrAgW2 crystal.

Lattice parameters (Å, degrees): 2.6313 4.2221 5.6243 90.00 90.00 90.00
Fractional positions:
Cr: 0.0000 0.0000 0.0000
Ag: 0.5000 0.5000 0.7488
W: 0.0000 0.0000 0.4844
W: 0.5000 0.5000 0.2340

**Total energy**: -0.3304 hartree per atom
**Space-group type**: Pmm2
**Formation energy from the elements**: 0.605 eV per atom
**D(E_F)**: 3.96 states/eV per cell
**Distance to the lowest polymorph of the same formula**: 0.219 eV per atom